[1]
Crystalline AsPt2Rh at its relaxed geometry, computed with PBE.

Structure (POSCAR):
```
AsPt2Rh
1.0
4.409 0.000 0.000
0.000 3.227 0.000
-1.210 0.000 4.396
As Pt Rh
1 2 1
Direct
0.000 0.000 0.000 As
0.000 0.500 0.500 Pt
0.500 0.000 0.500 Pt
0.500 0.500 0.000 Rh
```

Values from the calculation:
- Calculated density: 15.08 g cm⁻³
- ΔH_f (0 K): -0.091 eV/atom
- Fermi-level density of states: 0.330 states/eV per atom
- Spin magnetization: 0.0 Bohr magnetons per cell



[2]
Crystalline Er2CdAg6 at its relaxed geometry, computed with PBE.

Structure (POSCAR):
```
Er2CdAg6
1.0
5.386 -3.104 0.000
5.386 3.104 0.000
-0.006 0.000 5.751
Er Cd Ag
2 1 6
Direct
0.166 0.166 0.156 Er
0.834 0.834 0.844 Er
0.500 0.500 0.000 Cd
0.132 0.684 0.328 Ag
0.316 0.316 0.673 Ag
0.316 0.868 0.672 Ag
0.684 0.132 0.328 Ag
0.684 0.684 0.327 Ag
0.868 0.316 0.672 Ag
```

Values from the calculation:
- Calculated density: 9.45 g cm⁻³
- ΔH_f (0 K): -0.142 eV/atom
- Fermi-level density of states: 0.361 states/eV per atom
- Spin magnetization: 0.0 Bohr magnetons per cell



[3]
Crystalline K2AcCuF8 at its relaxed geometry, computed with PBE.

Structure (POSCAR):
```
K2AcCuF8
1.0
4.253 0.000 0.000
0.474 6.198 0.000
0.465 1.327 8.255
K Ac Cu F
2 1 1 8
Direct
0.018 0.028 0.238 K
0.982 0.972 0.762 K
0.500 0.500 0.500 Ac
0.500 0.500 0.000 Cu
0.011 0.293 0.458 F
0.164 0.680 0.036 F
0.460 0.201 0.715 F
0.468 0.355 0.203 F
0.532 0.645 0.797 F
0.540 0.799 0.285 F
0.836 0.320 0.964 F
0.989 0.707 0.542 F
```

Values from the calculation:
- Calculated density: 3.97 g cm⁻³
- Total DFT energy (no corrections): -4.9076 eV per atom
- Spin magnetization: 0.1 Bohr magnetons per cell